The following is a PBE calculation of a geometry-optimized HfZnPd2 structure, from OQMD.

POSCAR file:
```
HfZnPd2
1.0
3.3166 0.0000 0.0000
0.0000 3.3166 0.0000
0.0000 0.0000 6.0359
Hf Zn Pd
1 1 2
Direct
0.0000 0.0000 0.0000
0.0000 0.0000 0.5000
0.5000 0.5000 0.2585
0.5000 0.5000 0.7415
```

## Properties
total magnetization: 0.00 μB per cell
formation enthalpy at 0 K: -2.6 eV per formula unit



The following is a PBE calculation of a geometry-optimized Hf2Zn3Pd structure, from OQMD.

POSCAR file:
```
Hf2Zn3Pd
1.0
3.1299 0.0000 0.0000
0.0000 3.1299 0.0000
0.0000 0.0000 10.3144
Hf Zn Pd
2 3 1
Direct
0.0000 0.0000 0.0000
0.5000 0.5000 0.4841
0.0000 0.0000 0.6700
0.5000 0.5000 0.1740
0.5000 0.5000 0.8140
0.0000 0.0000 0.3159
```

## Properties
total magnetization: 0.02 μB per cell
formation enthalpy at 0 K: -1.8 eV per formula unit



The following is a PBE calculation of a geometry-optimized HfZnPd2 structure, from OQMD.

POSCAR file:
```
HfZnPd2
1.0
0.0000 3.2029 3.2029
3.2029 0.0000 3.2029
3.2029 3.2029 0.0000
Hf Zn Pd
1 1 2
Direct
0.0000 0.0000 0.0000
0.2500 0.2500 0.2500
0.5000 0.5000 0.5000
0.7500 0.7500 0.7500
```

## Properties
total magnetization: 0.00 μB per cell
formation enthalpy at 0 K: -1.9 eV per formula unit



The following is a PBE calculation of a geometry-optimized Hf2Zn2Pd structure, from OQMD.

POSCAR file:
```
Hf2Zn2Pd
1.0
-1.9900 1.9900 6.0019
1.9900 -1.9900 6.0019
1.9900 1.9900 -6.0019
Hf Zn Pd
2 2 1
Direct
0.2500 0.7500 0.5000
0.7500 0.2500 0.5000
0.0933 0.0933 0.0000
0.9067 0.9067 0.0000
0.5000 0.5000 0.0000
```

## Properties
total magnetization: 0.00 μB per cell
formation enthalpy at 0 K: 1.1 eV per formula unit



What is the formula in the first record?
HfZnPd2



What is the formation enthalpy at 0 K in the first record?
-2.6 eV per formula unit



What is the formation enthalpy at 0 K in the fourth record?
1.1 eV per formula unit



Copy entry 4 word for word.
The following is a PBE calculation of a geometry-optimized Hf2Zn2Pd structure, from OQMD.

POSCAR file:
```
Hf2Zn2Pd
1.0
-1.9900 1.9900 6.0019
1.9900 -1.9900 6.0019
1.9900 1.9900 -6.0019
Hf Zn Pd
2 2 1
Direct
0.2500 0.7500 0.5000
0.7500 0.2500 0.5000
0.0933 0.0933 0.0000
0.9067 0.9067 0.0000
0.5000 0.5000 0.0000
```

## Properties
total magnetization: 0.00 μB per cell
formation enthalpy at 0 K: 1.1 eV per formula unit